Entry from Alexandria via LeMat-Bulk: a relaxed structure of PuPaSbPb (PBE).

Properties
E_form (uncorrected)   -164 meV per atom
Crystal system   cubic
Space group   F-43m (216)
V   27.2 A^3/atom

abc: 5.360 5.360 5.360
angles: 60.00 60.00 60.00
Last column: magnetic moment on the atom in μB.
Positions (direct):
Pb 0.500 0.500 0.500  -0.03
Sb 0.000 0.000 0.000  -0.04
Pa 0.250 0.250 0.250  0.81
Pu 0.750 0.750 0.750  5.47